No. 1
# HgTeS2

A relaxed structure of HgTeS2 (PBE-GGA, Alexandria).

Final energy (eV for the cell shown): -22.09
Raw formation energy (meV/atom): 164
Energy relative to the lowest polymorph listed for this composition (meV/atom): 79.8

Lattice parameters (Å, degrees): 4.7295 6.3166 7.4068 88.28 90.00 90.00
Closest atoms and distances in Å follow each position.
Sites, in units of the cell vectors:
S (0.0193, 0.5140, 0.5279)  1 Hg 2.43, 1 Te 2.58
S (0.0193, 0.8934, 0.9278)  1 Hg 2.43, 1 Te 2.58
S (0.5449, 0.3934, 0.9278)  1 Hg 2.43, 1 Te 2.58
S (0.5449, 0.0141, 0.5279)  1 Hg 2.43, 1 Te 2.58
Te (0.2822, 0.4537, 0.2279)  2 S 2.58
Te (0.2821, 0.9537, 0.2279)  2 S 2.58
Hg (0.4922, 0.7038, 0.7278)  2 S 2.43
Hg (0.0721, 0.2037, 0.7279)  2 S 2.43

No. 2
# HgTe3S7

A relaxed structure of HgTe3S7 (PBE-GGA, Alexandria).

Final energy (eV for the cell shown): -37.54
Raw formation energy (meV/atom): 98

Lattice parameters (Å, degrees): 9.5080 8.2164 7.8819 129.06 75.56 118.27
Closest atoms and distances in Å follow each position.
Sites, in units of the cell vectors:
S (0.9646, 0.4133, 0.5522)  2 S 2.02-2.05
S (0.2084, 0.5655, 0.9302)  2 Te 2.41-2.49
S (0.2339, 0.0773, 0.4966)  1 Te 2.40
S (0.8624, 0.1079, 0.5063)  1 S 2.02
S (0.7960, 0.2985, 0.0564)  2 Te 2.42-2.56
S (0.1426, 0.4228, 0.3438)  1 S 2.05
S (0.6437, 0.6487, 0.6321)  1 Hg 2.40, 1 Te 2.41
Te (0.6810, 0.9454, 0.0222)  2 S 2.41-2.42
Te (0.0046, 0.1677, 0.7928)  4 S 2.49-2.75
Te (0.0855, 0.8330, 0.1525)  2 S 2.40-2.41
Hg (0.3773, 0.5200, 0.5148)  2 S 2.40-2.43

No. 3
# HgTeS2

A relaxed structure of HgTeS2 (PBE-GGA, Alexandria).

Final energy (eV for the cell shown): -11.06
Raw formation energy (meV/atom): 159
Energy relative to the lowest polymorph listed for this composition (meV/atom): 75.0

Lattice parameters (Å, degrees): 8.3567 8.3567 8.3567 27.14 27.14 27.14
Closest atoms and distances in Å follow each position.
Sites, in units of the cell vectors:
S (0.8952, 0.8952, 0.8952)  1 Te 2.53, 3 Hg 2.71
S (0.1048, 0.1048, 0.1048)  1 Te 2.53, 3 Hg 2.71
Te (0.0000, 0.0000, 0.0000)  2 S 2.53
Hg (0.5000, 0.5000, 0.5000)  6 S 2.71

Which value of raw formation energy does entry 2 give?
98 meV/atom

Among the records above, which one has the lowest raw formation energy?
HgTe3S7

Which formula does entry 2 have?
HgTe3S7